(1)
Entry from the Alexandria database: an optimized crystal structure of Y2SbS5 (PBE).

```
Y2SbS5
1.0
-0.144 3.759 -3.715
-5.644 -4.401 -0.472
-6.660 7.679 8.029
Y Sb S
4 2 10
direct
0.845 0.689 0.433
0.845 0.689 0.067
0.155 0.311 0.567
0.155 0.311 0.933
0.829 0.658 0.750
0.171 0.342 0.250
0.956 0.912 0.892
0.956 0.912 0.608
0.303 0.605 0.415
0.303 0.605 0.085
0.729 0.457 0.250
0.271 0.543 0.750
0.697 0.395 0.585
0.697 0.395 0.915
0.044 0.088 0.108
0.044 0.088 0.392
```

## Properties
ΔE_f (raw)	-1.27	eV per atom
crystal system	orthorhombic
theoretical density	3.34	g/cm3
total energy	-95.72	eV/cell
D(E_F)	4.79	states/eV/cell


(2)
Entry from the Alexandria database: an optimized crystal structure of YSbS3 (PBE).

```
YSbS3
1.0
5.176 0.000 0.000
0.000 5.176 0.000
0.000 0.000 5.176
Y Sb S
1 1 3
direct
0.000 0.000 0.000
0.500 0.500 0.500
0.000 0.500 0.000
0.000 0.000 0.500
0.500 0.000 0.000
```

## Properties
ΔE_f (raw)	-0.30	eV per atom
crystal system	cubic
theoretical density	3.67	g/cm3
total energy	-24.45	eV/cell
ΔE to the lowest computed polymorph	840	meV per atom
D(E_F)	5.25	states/eV/cell


(3)
Entry from the Alexandria database: an optimized crystal structure of ZnSb2S6 (PBE).

```
ZnSb2S6
1.0
-5.946 0.704 -1.961
0.137 -5.246 -2.300
-3.624 -4.245 9.465
Zn Sb S
2 4 12
direct
0.500 0.500 0.000
0.000 0.000 0.500
0.000 0.500 0.826
0.500 0.000 0.674
0.500 0.000 0.326
0.000 0.500 0.174
0.820 0.722 0.347
0.820 0.721 0.653
0.820 0.730 0.000
0.680 0.230 0.500
0.680 0.221 0.847
0.680 0.222 0.153
0.180 0.278 0.653
0.180 0.279 0.347
0.180 0.270 0.000
0.320 0.770 0.500
0.320 0.779 0.153
0.320 0.778 0.847
```

## Properties
ΔE_f (raw)	-0.05	eV per atom
crystal system	orthorhombic
theoretical density	4.20	g/cm3
total energy	-69.46	eV/cell
D(E_F)	2.35	states/eV/cell


(4)
Entry from the Alexandria database: an optimized crystal structure of ZnSb2S5 (PBE).

```
ZnSb2S5
1.0
-2.388 3.824 2.418
-3.511 -2.071 -5.605
-6.439 -8.575 7.202
Zn Sb S
2 4 10
direct
0.699 0.399 0.750
0.301 0.601 0.250
0.878 0.756 0.440
0.878 0.756 0.060
0.122 0.244 0.560
0.122 0.244 0.940
0.942 0.884 0.876
0.942 0.884 0.624
0.326 0.651 0.428
0.326 0.651 0.072
0.798 0.596 0.250
0.202 0.404 0.750
0.674 0.349 0.572
0.674 0.349 0.928
0.058 0.116 0.124
0.058 0.116 0.376
```

## Properties
ΔE_f (raw)	-0.14	eV per atom
crystal system	orthorhombic
theoretical density	3.66	g/cm3
total energy	-62.63	eV/cell
D(E_F)	5.03	states/eV/cell